(1)
The following is a DFT calculation (PBE) of a relaxed Mg3Cd5In3 crystal.

It has space group P-62m (No. 189), with a = 10.1743 Å, b = 10.1743 Å, c = 3.1326 Å, α = 90.00°, β = 90.00° and γ = 120.00°. Symmetry generates all atoms from Mg at (0.0000, 0.5807, 0.0000), Cd at (0.0000, 0.3404, 0.5000), Cd at (0.3333, 0.6667, 0.5000) and In at (0.0000, 0.8284, 0.5000).

The value obtained for the total energy is -1.541 eV per atom. Its size of the total moment is 0.00 μB/f.u. As for the crystal system: hexagonal. The energy relative to the elements is 0.62 eV/f.u.


(2)
The following is a DFT calculation (PBE) of a relaxed Mg3CdIn5 crystal.

It has space group I4/mcm (No. 140), with a = 9.0290 Å, b = 9.0290 Å, c = 11.7398 Å, α = 90.00°, β = 90.00° and γ = 90.00°. Symmetry generates all atoms from Mg at (0.0000, 0.0000, 0.2500), Mg at (0.1111, 0.3889, 0.0000), Cd at (0.0000, 0.5000, 0.2500), In at (0.0000, 0.0000, 0.0000) and In at (0.1981, 0.3019, 0.3666).

The value obtained for the total energy is -2.078 eV per atom. Its size of the total moment is 0.00 μB/f.u. As for the crystal system: tetragonal. The energy relative to the elements is 0.69 eV/f.u.


(3)
The following is a DFT calculation (PBE) of a relaxed Mg2CdIn crystal.

It has space group I-42d (No. 122), with a = 8.1186 Å, b = 8.1186 Å, c = 6.2037 Å, α = 90.00°, β = 90.00° and γ = 90.00°. Symmetry generates all atoms from Mg at (0.2425, 0.2500, 0.1250), Cd at (0.0000, 0.0000, 0.0000) and In at (0.0000, 0.0000, 0.5000).

The value obtained for the total energy is -1.602 eV per atom. Its size of the total moment is 0.00 μB/f.u. As for the crystal system: tetragonal. The energy relative to the elements is 0.44 eV/f.u.


(4)
The following is a DFT calculation (PBE) of a relaxed Mg2CdIn2 crystal.

It has space group P4/mbm (No. 127), with a = 8.4550 Å, b = 8.4550 Å, c = 3.4389 Å, α = 90.00°, β = 90.00° and γ = 90.00°. Symmetry generates all atoms from Mg at (0.1700, 0.3300, 0.0000), Cd at (0.0000, 0.0000, 0.5000) and In at (0.1303, 0.6303, 0.5000).

The value obtained for the total energy is -1.908 eV per atom. Its size of the total moment is 0.00 μB/f.u. As for the crystal system: tetragonal. The calculation puts the energy relative to the lowest polymorph listed for this composition at 0.016 eV per atom. The energy relative to the elements is 0.04 eV/f.u.


(5)
The following is a DFT calculation (PBE) of a relaxed Mg2Cd2In crystal.

It has space group I4/mmm (No. 139), with a = 4.1435 Å, b = 4.1435 Å, c = 14.7249 Å, α = 90.00°, β = 90.00° and γ = 90.00°. Symmetry generates all atoms from Mg at (0.0000, 0.0000, 0.0994), Cd at (0.0000, 0.5000, 0.2500) and In at (0.0000, 0.0000, 0.5000).

The value obtained for the total energy is -1.499 eV per atom. Its size of the total moment is 0.00 μB/f.u. As for the crystal system: tetragonal. The calculation puts the energy relative to the lowest polymorph listed for this composition at 0.091 eV per atom. The energy relative to the elements is 0.27 eV/f.u.


(6)
The following is a DFT calculation (PBE) of a relaxed MgCdIn2 crystal.

It has space group C2/m (No. 12), with a = 10.2918 Å, b = 3.1788 Å, c = 6.0566 Å, α = 90.00°, β = 98.36° and γ = 90.00°. Symmetry generates all atoms from Mg at (0.0000, 0.0000, 0.0000), Cd at (0.0000, 0.5000, 0.5000) and In at (0.2480, 0.5000, 0.2475).

The value obtained for the total energy is -2.025 eV per atom. Its size of the total moment is 0.00 μB/f.u. As for the crystal system: monoclinic. The energy relative to the elements is -0.11 eV/f.u.


(7)
The following is a DFT calculation (PBE) of a relaxed Mg6CdIn5 crystal.

It has space group Cmmm (No. 65), with a = 4.5894 Å, b = 13.9435 Å, c = 8.6750 Å, α = 90.00°, β = 90.00° and γ = 90.00°. Symmetry generates all atoms from Mg at (0.0000, 0.0000, 0.2465), Mg at (0.0000, 0.3336, 0.2458), Cd at (0.0000, 0.5000, 0.0000), In at (0.0000, 0.1648, 0.0000), In at (0.0000, 0.1672, 0.5000) and In at (0.0000, 0.5000, 0.5000).

The value obtained for the total energy is -2.109 eV per atom. Its size of the total moment is 0.00 μB/f.u. As for the crystal system: orthorhombic. The calculation puts the energy relative to the lowest polymorph listed for this composition at 0.000 eV per atom. The energy relative to the elements is -1.13 eV/f.u.


(8)
The following is a DFT calculation (PBE) of a relaxed Mg8Cd3In crystal.

It has space group C2/m (No. 12), with a = 9.5821 Å, b = 9.6802 Å, c = 8.2185 Å, α = 90.00°, β = 125.52° and γ = 90.00°. Symmetry generates all atoms from Mg at (0.1214, 0.0000, 0.2471), Mg at (0.1257, 0.2473, 0.7510), Mg at (0.1264, 0.5000, 0.2472), Cd at (0.0000, 0.0000, 0.5000), Cd at (0.0000, 0.2501, 0.0000) and In at (0.0000, 0.5000, 0.5000).

The value obtained for the total energy is -1.490 eV per atom. Its size of the total moment is 0.00 μB/f.u. As for the crystal system: monoclinic. The energy relative to the elements is 0.36 eV/f.u.